The following is a GGA-PBE calculation of a geometry-optimized NdHgPt structure, from the Alexandria database.

```
NdHgPt
1.0
-0.923 -0.209 -4.730
-0.432 -4.278 -2.186
-4.317 -1.490 -1.551
Nd Pt Hg
1 1 1
Cartesian
-2.836 -2.989 -4.234
-1.418 -1.494 -2.117
0.000 0.000 0.000
```

Summary:
The value obtained for the total energy is -13.286 eV/cell. For the formation energy, the calculation gives -0.725 eV per atom. As for the space-group type: No. 216.

***

The following is a GGA-PBE calculation of a geometry-optimized La2Cd6Pb structure, from the Alexandria database.

```
La2Cd6Pb
1.0
3.558 0.000 0.000
0.000 7.692 -4.441
0.000 0.000 8.881
Cd La Pb
6 2 1
Cartesian
1.779 0.000 2.929
1.779 0.000 5.953
1.779 2.536 -1.464
1.779 2.536 1.464
1.779 5.155 5.905
1.779 5.155 2.976
0.000 2.564 4.441
3.558 5.128 0.000
0.000 0.000 8.881
```

Summary:
The value obtained for the total energy is -21.228 eV/cell. For the formation energy, the calculation gives -0.242 eV per atom. As for the space-group type: No. 191.

***

The following is a GGA-PBE calculation of a geometry-optimized TaCrInRh2 structure, from the Alexandria database.

```
TaCrInRh2
1.0
-3.593 -0.350 -2.694
-0.329 -4.505 1.023
-2.697 0.985 3.470
Rh Ta In Cr
2 1 1 1
Cartesian
-1.349 0.493 1.735
-1.797 -0.175 -1.347
-0.164 -2.252 0.512
-3.310 -1.935 0.900
0.000 0.000 0.000
```

Summary:
The value obtained for the total energy is -35.077 eV/cell. For the formation energy, the calculation gives 0.768 eV per atom. As for the space-group type: No. 123.

***

The following is a GGA-PBE calculation of a geometry-optimized YTlMo2 structure, from the Alexandria database.

```
YTlMo2
1.0
-0.507 4.405 3.676
-1.500 -4.973 1.881
2.333 -0.448 1.774
Mo Y Tl
2 1 1
Cartesian
0.417 -2.711 1.827
0.000 0.000 0.000
0.913 1.978 2.725
-1.004 -0.284 2.779
```

Summary:
The value obtained for the total energy is -28.109 eV/cell. As for the excess energy over the best structure of this formula in the dataset: 1.788 eV/f.u. For the formation energy, the calculation gives 0.596 eV per atom. As for the space-group type: No. 12.

***

The following is a GGA-PBE calculation of a geometry-optimized TmTh3Bi4 structure, from the Alexandria database.

```
TmTh3Bi4
1.0
-1.565 4.080 -1.283
-2.651 -3.139 -6.748
-5.657 -0.442 5.497
Th Bi Tm
3 4 1
Cartesian
-2.829 -0.221 2.748
-4.937 0.250 -1.267
-1.326 -1.569 -3.374
-2.002 -0.863 -0.301
-5.703 0.937 1.855
-6.306 -2.718 -0.950
-4.170 -0.438 -4.389
-0.783 2.040 -0.641
```

Summary:
The value obtained for the total energy is -47.083 eV/cell. For the formation energy, the calculation gives -0.604 eV per atom. As for the space-group type: No. 65.

***

The following is a GGA-PBE calculation of a geometry-optimized Ce5YBi4 structure, from the Alexandria database.

```
Ce5YBi4
1.0
-4.333 -1.647 1.064
0.432 -5.256 -6.374
5.149 -1.228 8.438
Bi Ce Y
4 5 1
Cartesian
-1.023 -2.163 3.114
0.554 -2.007 -0.851
0.695 -6.124 3.979
2.271 -5.967 0.014
0.132 -3.397 5.907
-0.651 -4.716 0.679
-1.950 -3.451 -2.655
1.899 -3.415 2.449
1.116 -4.734 -2.779
-2.166 -0.823 0.532
```

Summary:
The value obtained for the total energy is -57.418 eV/cell. For the formation energy, the calculation gives -0.576 eV per atom. As for the space-group type: No. 12.